CsNpMn2O8 PBE with a Hubbard U optimized geometry; E_tot = -88.1 eV/f.u.; spin magnetization = 6.0 μB/cell
1.0
5.7663 0.0000 0.0000
-2.8832 4.9938 0.0000
0.0000 0.0000 8.4707
Np O Mn Cs
1 8 2 1
direct
0.0000 0.0000 0.0000
0.8349 0.1651 0.1482
0.6667 0.3333 0.4148
0.3302 0.1651 0.1482
0.3333 0.6667 0.5852
0.1651 0.3302 0.8518
0.6698 0.8349 0.8518
0.1651 0.8349 0.8518
0.8349 0.6698 0.1482
0.3333 0.6667 0.7789
0.6667 0.3333 0.2211
0.0000 0.0000 0.5000